Entry 1:
VASP calculation (GGA-PBE) on a geometry-optimized MnBe2Sb structure.

Unit cell a=7.792 b=7.792 c=7.792 alpha=22.68 beta=22.68 gamma=22.68
Positions (direct):
Sb  0.750  0.750  0.750
Mn  0.250  0.250  0.250
Be  0.992  0.992  0.992
Be  0.508  0.508  0.508

Summary:
Uncorrected formation energy: 0.68 eV/atom
SG: R-3m, No. 166
Total DFT energy (no corrections): -4.51 eV/atom

Entry 2:
VASP calculation (GGA-PBE) on a geometry-optimized MnBeSb4 structure.

Unit cell a=6.141 b=6.141 c=6.141 alpha=60.00 beta=60.00 gamma=60.00
Positions (direct):
Mn  0.000  0.000  0.000
Be  0.750  0.750  0.750
Sb  0.874  0.375  0.375
Sb  0.375  0.375  0.874
Sb  0.375  0.874  0.375
Sb  0.375  0.375  0.375

Summary:
Uncorrected formation energy: 0.91 eV/atom
SG: F-43m, No. 216
Total DFT energy (no corrections): -3.99 eV/atom

Entry 3:
VASP calculation (GGA-PBE) on a geometry-optimized MnBe2Sb structure.

Unit cell a=6.870 b=6.870 c=5.488 alpha=51.25 beta=51.25 gamma=90.00
Positions (direct):
Sb  0.000  0.000  0.000
Sb  0.750  0.250  0.500
Mn  0.500  0.500  0.000
Mn  0.250  0.750  0.500
Be  0.616  0.125  0.250
Be  0.134  0.625  0.250
Be  0.375  0.384  0.750
Be  0.875  0.866  0.750

Summary:
Uncorrected formation energy: 0.66 eV/atom
SG: I-42d, No. 122
Total DFT energy (no corrections): -4.52 eV/atom

Entry 4:
VASP calculation (GGA-PBE) on a geometry-optimized Mn3BeSb structure.

Unit cell a=4.920 b=4.920 c=4.920 alpha=90.00 beta=90.00 gamma=90.00
Positions (direct):
Sb  0.000  0.000  0.000
Mn  0.000  0.500  0.000
Mn  0.000  0.000  0.500
Mn  0.500  0.000  0.000
Be  0.500  0.500  0.500

Summary:
Uncorrected formation energy: 1.39 eV/atom
Relative energy among the computed polymorphs: 1057 meV per atom
SG: Pm-3m, No. 221
Total DFT energy (no corrections): -5.68 eV/atom

Entry 5:
VASP calculation (GGA-PBE) on a geometry-optimized MnBe3Sb structure.

Unit cell a=4.138 b=4.138 c=4.138 alpha=90.00 beta=90.00 gamma=90.00
Positions (direct):
Sb  0.500  0.500  0.500
Mn  0.000  0.000  0.000
Be  0.000  0.500  0.000
Be  0.000  0.000  0.500
Be  0.500  0.000  0.000

Summary:
Uncorrected formation energy: 0.87 eV/atom
Relative energy among the computed polymorphs: 0 meV per atom
SG: Pm-3m, No. 221
Total DFT energy (no corrections): -4.02 eV/atom

Entry 6:
VASP calculation (GGA-PBE) on a geometry-optimized MnBe4Sb structure.

Unit cell a=4.435 b=4.435 c=4.435 alpha=60.00 beta=60.00 gamma=60.00
Positions (direct):
Mn  0.750  0.750  0.750
Be  0.867  0.378  0.378
Be  0.378  0.378  0.867
Be  0.378  0.867  0.378
Be  0.378  0.378  0.378
Sb  0.000  0.000  0.000

Summary:
Uncorrected formation energy: 0.12 eV/atom
SG: F-43m, No. 216
Total DFT energy (no corrections): -4.58 eV/atom

Entry 7:
VASP calculation (GGA-PBE) on a geometry-optimized Mn2BeSb structure.

Unit cell a=4.790 b=4.790 c=3.716 alpha=67.17 beta=67.17 gamma=45.59
Positions (direct):
Sb  0.500  0.500  0.500
Mn  0.000  0.000  0.000
Mn  0.750  0.750  0.750
Be  0.250  0.250  0.250

Summary:
Uncorrected formation energy: 0.18 eV/atom
Relative energy among the computed polymorphs: 34 meV per atom
SG: I-4m2, No. 119
Total DFT energy (no corrections): -6.37 eV/atom

Entry 8:
VASP calculation (GGA-PBE) on a geometry-optimized MnBe2Sb structure.

Unit cell a=3.148 b=3.148 c=5.130 alpha=90.00 beta=90.00 gamma=90.00
Positions (direct):
Sb  0.500  0.500  0.741
Mn  0.000  0.000  0.472
Be  0.000  0.000  0.050
Be  0.500  0.500  0.237

Summary:
Uncorrected formation energy: 0.33 eV/atom
SG: P4mm, No. 99
Total DFT energy (no corrections): -4.86 eV/atom

Entry 9:
VASP calculation (GGA-PBE) on a geometry-optimized Mn2BeSb structure.

Unit cell a=3.699 b=3.699 c=8.720 alpha=77.75 beta=77.75 gamma=90.00
Positions (direct):
Sb  0.000  0.000  0.000
Sb  0.750  0.250  0.500
Mn  0.225  0.125  0.250
Mn  0.525  0.625  0.250
Mn  0.375  0.775  0.750
Mn  0.875  0.475  0.750
Be  0.500  0.500  0.000
Be  0.250  0.750  0.500

Summary:
Uncorrected formation energy: 0.45 eV/atom
Relative energy among the computed polymorphs: 306 meV per atom
SG: I-42d, No. 122
Total DFT energy (no corrections): -6.10 eV/atom

Entry 10:
VASP calculation (GGA-PBE) on a geometry-optimized MnBe2Sb structure.

Unit cell a=3.677 b=2.796 c=5.496 alpha=89.98 beta=90.00 gamma=90.00
Positions (direct):
Sb  0.500  0.000  0.738
Mn  0.000  0.500  0.413
Be  0.000  0.000  0.078
Be  0.500  0.000  0.271

Summary:
Uncorrected formation energy: 0.34 eV/atom
SG: Pmm2, No. 25
Total DFT energy (no corrections): -4.85 eV/atom

Entry 11:
VASP calculation (GGA-PBE) on a geometry-optimized MnBe3Sb structure.

Unit cell a=4.509 b=4.509 c=4.509 alpha=90.00 beta=90.00 gamma=90.00
Positions (direct):
Sb  0.000  0.000  0.000
Mn  0.500  0.500  0.500
Be  0.000  0.500  0.000
Be  0.000  0.000  0.500
Be  0.500  0.000  0.000

Summary:
Uncorrected formation energy: 1.90 eV/atom
Relative energy among the computed polymorphs: 1024 meV per atom
SG: Pm-3m, No. 221
Total DFT energy (no corrections): -3.00 eV/atom

Entry 12:
VASP calculation (GGA-PBE) on a geometry-optimized MnBe2Sb structure.

Unit cell a=3.823 b=3.823 c=3.618 alpha=90.00 beta=90.00 gamma=90.00
Positions (direct):
Sb  0.000  0.500  0.500
Mn  0.500  0.000  0.500
Be  0.000  0.000  0.000
Be  0.500  0.500  0.000

Summary:
Uncorrected formation energy: 0.30 eV/atom
SG: P4/mmm, No. 123
Total DFT energy (no corrections): -4.88 eV/atom

Entry 13:
VASP calculation (GGA-PBE) on a geometry-optimized Mn2BeSb structure.

Unit cell a=4.623 b=4.623 c=4.623 alpha=131.76 beta=131.76 gamma=70.61
Positions (direct):
Sb  0.250  0.750  0.500
Mn  0.000  0.000  0.000
Mn  0.500  0.500  0.000
Be  0.750  0.250  0.500

Summary:
Uncorrected formation energy: 0.15 eV/atom
Relative energy among the computed polymorphs: 0 meV per atom
SG: I4/mmm, No. 139
Total DFT energy (no corrections): -6.40 eV/atom

Entry 14:
VASP calculation (GGA-PBE) on a geometry-optimized MnBeSb3 structure.

Unit cell a=4.937 b=4.937 c=4.937 alpha=90.00 beta=90.00 gamma=90.00
Positions (direct):
Sb  0.000  0.500  0.000
Sb  0.000  0.000  0.500
Sb  0.500  0.000  0.000
Mn  0.000  0.000  0.000
Be  0.500  0.500  0.500

Summary:
Uncorrected formation energy: 0.83 eV/atom
Relative energy among the computed polymorphs: 0 meV per atom
SG: Pm-3m, No. 221
Total DFT energy (no corrections): -4.23 eV/atom

Entry 15:
VASP calculation (GGA-PBE) on a geometry-optimized Mn2BeSb structure.

Unit cell a=6.504 b=6.504 c=6.504 alpha=29.57 beta=29.57 gamma=29.57
Positions (direct):
Sb  0.250  0.250  0.250
Mn  0.022  0.022  0.022
Mn  0.478  0.478  0.478
Be  0.750  0.750  0.750

Summary:
Uncorrected formation energy: 0.34 eV/atom
Relative energy among the computed polymorphs: 193 meV per atom
SG: R-3m, No. 166
Total DFT energy (no corrections): -6.21 eV/atom

Entry 16:
VASP calculation (GGA-PBE) on a geometry-optimized MnBe2Sb structure.

Unit cell a=3.658 b=2.867 c=5.421 alpha=89.98 beta=90.00 gamma=90.00
Positions (direct):
Sb  0.500  0.750  0.750
Mn  0.500  0.250  0.250
Be  0.000  0.751  0.064
Be  0.000  0.749  0.436

Summary:
Uncorrected formation energy: 0.35 eV/atom
SG: Pmmm, No. 47
Total DFT energy (no corrections): -4.84 eV/atom

Entry 17:
VASP calculation (GGA-PBE) on a geometry-optimized MnBe2Sb structure.

Unit cell a=4.632 b=4.632 c=4.632 alpha=134.16 beta=134.18 gamma=66.82
Positions (direct):
Sb  0.750  0.250  0.500
Mn  0.500  0.500  0.000
Be  0.000  0.000  0.000
Be  0.250  0.750  0.500

Summary:
Uncorrected formation energy: 0.23 eV/atom
SG: I-4m2, No. 119
Total DFT energy (no corrections): -4.96 eV/atom

Entry 18:
VASP calculation (GGA-PBE) on a geometry-optimized MnBe2Sb structure.

Unit cell a=4.620 b=4.620 c=4.620 alpha=133.46 beta=133.46 gamma=67.93
Positions (direct):
Sb  0.750  0.250  0.500
Mn  0.250  0.750  0.500
Be  0.000  0.000  0.000
Be  0.500  0.500  0.000

Summary:
Uncorrected formation energy: 0.32 eV/atom
SG: I4/mmm, No. 139
Total DFT energy (no corrections): -4.87 eV/atom

Entry 19:
VASP calculation (GGA-PBE) on a geometry-optimized Mn2BeSb structure.

Unit cell a=3.777 b=3.777 c=3.808 alpha=90.00 beta=90.00 gamma=90.00
Positions (direct):
Sb  0.500  0.000  0.500
Mn  0.000  0.000  0.000
Mn  0.500  0.500  0.000
Be  0.000  0.500  0.500

Summary:
Uncorrected formation energy: 0.16 eV/atom
Relative energy among the computed polymorphs: 17 meV per atom
SG: P4/mmm, No. 123
Total DFT energy (no corrections): -6.38 eV/atom

Entry 20:
VASP calculation (GGA-PBE) on a geometry-optimized Mn2BeSb structure.

Unit cell a=3.667 b=3.114 c=5.390 alpha=72.51 beta=90.00 gamma=90.00
Positions (direct):
Sb  0.000  0.694  0.481
Mn  0.000  0.963  0.951
Mn  0.500  0.312  0.249
Be  0.500  0.531  0.819

Summary:
Uncorrected formation energy: 0.28 eV/atom
Relative energy among the computed polymorphs: 133 meV per atom
SG: Pm, No. 6
Total DFT energy (no corrections): -6.27 eV/atom

Entry 21:
VASP calculation (GGA-PBE) on a geometry-optimized Mn2BeSb structure.

Unit cell a=3.012 b=3.012 c=5.637 alpha=90.00 beta=90.00 gamma=90.00
Positions (direct):
Sb  0.000  0.000  0.496
Mn  0.000  0.000  0.961
Mn  0.500  0.500  0.225
Be  0.500  0.500  0.818

Summary:
Uncorrected formation energy: 0.27 eV/atom
Relative energy among the computed polymorphs: 127 meV per atom
SG: P4mm, No. 99
Total DFT energy (no corrections): -6.27 eV/atom

Entry 22:
VASP calculation (GGA-PBE) on a geometry-optimized Mn3BeSb structure.

Unit cell a=4.219 b=4.219 c=4.219 alpha=90.00 beta=90.00 gamma=90.00
Positions (direct):
Sb  0.500  0.500  0.500
Mn  0.000  0.500  0.000
Mn  0.000  0.000  0.500
Mn  0.500  0.000  0.000
Be  0.000  0.000  0.000

Summary:
Uncorrected formation energy: 0.34 eV/atom
Relative energy among the computed polymorphs: 0 meV per atom
SG: Pm-3m, No. 221
Total DFT energy (no corrections): -6.73 eV/atom

Entry 23:
VASP calculation (GGA-PBE) on a geometry-optimized MnBeSb3 structure.

Unit cell a=4.843 b=4.843 c=4.843 alpha=90.00 beta=90.00 gamma=90.00
Positions (direct):
Sb  0.000  0.500  0.000
Sb  0.000  0.000  0.500
Sb  0.500  0.000  0.000
Mn  0.500  0.500  0.500
Be  0.000  0.000  0.000

Summary:
Uncorrected formation energy: 1.12 eV/atom
Relative energy among the computed polymorphs: 292 meV per atom
SG: Pm-3m, No. 221
Total DFT energy (no corrections): -3.93 eV/atom

Entry 24:
VASP calculation (GGA-PBE) on a geometry-optimized Sc2MnBeSb structure.

Unit cell a=4.715 b=4.059 c=4.715 alpha=90.00 beta=90.00 gamma=90.00
Positions (direct):
Sc  0.000  0.000  0.500
Sc  0.500  0.000  0.000
Sb  0.500  0.500  0.500
Mn  0.000  0.500  0.000
Be  0.000  0.000  0.000

Summary:
Uncorrected formation energy: 0.01 eV/atom
SG: P4/mmm, No. 123
Total DFT energy (no corrections): -5.93 eV/atom

Entry 25:
VASP calculation (GGA-PBE) on a geometry-optimized MnBeSbSe2 structure.

Unit cell a=5.520 b=4.406 c=5.520 alpha=90.00 beta=90.00 gamma=90.00
Positions (direct):
Sb  0.000  0.000  0.000
Mn  0.500  0.500  0.500
Se  0.000  0.000  0.500
Se  0.500  0.000  0.000
Be  0.000  0.500  0.000

Summary:
Uncorrected formation energy: 0.73 eV/atom
SG: P4/mmm, No. 123
Total DFT energy (no corrections): -4.06 eV/atom

Entry 26:
VASP calculation (GGA-PBE) on a geometry-optimized MnBeSb2Te structure.

Unit cell a=4.992 b=4.992 c=5.234 alpha=90.00 beta=90.00 gamma=90.00
Positions (direct):
Sb  0.000  0.500  0.000
Sb  0.500  0.000  0.000
Te  0.000  0.000  0.500
Mn  0.000  0.000  0.000
Be  0.500  0.500  0.500

Summary:
Uncorrected formation energy: 0.82 eV/atom
Relative energy among the computed polymorphs: 0 meV per atom
SG: P4/mmm, No. 123
Total DFT energy (no corrections): -4.04 eV/atom

Entry 27:
VASP calculation (GGA-PBE) on a geometry-optimized MnBeSb2Te structure.

Unit cell a=4.775 b=4.775 c=5.038 alpha=90.00 beta=90.00 gamma=90.00
Positions (direct):
Sb  0.000  0.500  0.000
Sb  0.500  0.000  0.000
Te  0.000  0.000  0.500
Mn  0.500  0.500  0.500
Be  0.000  0.000  0.000

Summary:
Uncorrected formation energy: 1.11 eV/atom
Relative energy among the computed polymorphs: 293 meV per atom
SG: P4/mmm, No. 123
Total DFT energy (no corrections): -3.74 eV/atom

Entry 28:
VASP calculation (GGA-PBE) on a geometry-optimized MnBeVSb2 structure.

Unit cell a=4.909 b=4.909 c=4.058 alpha=90.00 beta=90.00 gamma=90.00
Positions (direct):
Sb  0.000  0.500  0.000
Sb  0.500  0.000  0.000
Mn  0.000  0.000  0.000
Be  0.000  0.000  0.500
V  0.500  0.500  0.500

Summary:
Uncorrected formation energy: 0.91 eV/atom
SG: P4/mmm, No. 123
Total DFT energy (no corrections): -5.15 eV/atom

Entry 29:
VASP calculation (GGA-PBE) on a geometry-optimized ZrMnBeSb2 structure.

Unit cell a=5.448 b=4.657 c=5.448 alpha=90.00 beta=90.00 gamma=90.00
Positions (direct):
Sb  0.000  0.000  0.500
Sb  0.500  0.000  0.000
Mn  0.500  0.500  0.500
Zr  0.000  0.000  0.000
Be  0.000  0.500  0.000

Summary:
Uncorrected formation energy: 1.43 eV/atom
SG: P4/mmm, No. 123
Total DFT energy (no corrections): -4.50 eV/atom